(1)
{"formula": "ErLuSnN", "functional": "PBE", "state": "optimized geometry", "vol_a3_per_fu": 78.4, "e_tot_ev_per_atom": -6.56, "lattice_angstrom": [[3.464, 0.000, 0.000], [-1.732, 3.000, 0.000], [0.000, 0.000, 15.091]], "species": ["Er", "Er", "Lu", "Lu", "Sn", "Sn", "N", "N"], "frac_coords": [[0.333, 0.667, 0.086], [0.667, 0.333, 0.914], [0.333, 0.667, 0.416], [0.667, 0.333, 0.584], [0.333, 0.667, 0.748], [0.667, 0.333, 0.252], [0.000, 0.000, 0.000], [0.000, 0.000, 0.500]]}

(2)
{"formula": "DyScGa2Pd4", "functional": "PBE", "state": "optimized geometry", "vol_a3_per_fu": 145.6, "e_tot_ev_per_atom": -5.58, "lattice_angstrom": [[4.360, 0.000, 0.000], [-2.180, 3.776, 0.000], [0.000, 0.000, 8.842]], "species": ["Dy", "Sc", "Ga", "Ga", "Pd", "Pd", "Pd", "Pd"], "frac_coords": [[0.000, 0.000, 0.000], [0.667, 0.333, 0.500], [0.333, 0.667, 0.263], [0.333, 0.667, 0.737], [0.000, 0.000, 0.341], [0.000, 0.000, 0.659], [0.667, 0.333, 0.174], [0.667, 0.333, 0.826]]}

(3)
{"formula": "CdFeReAs", "functional": "PBE", "state": "optimized geometry", "relative_energy_mev_per_atom": 0, "vol_a3_per_fu": 60.6, "lattice_angstrom": [[6.236, 0.000, 0.000], [0.000, 6.236, 0.000], [0.000, 0.000, 6.236]], "species": ["Cd", "Cd", "Cd", "Cd", "Fe", "Fe", "Fe", "Fe", "Re", "Re", "Re", "Re", "As", "As", "As", "As"], "frac_coords": [[0.000, 0.000, 0.000], [0.000, 0.500, 0.500], [0.500, 0.000, 0.500], [0.500, 0.500, 0.000], [0.250, 0.250, 0.750], [0.250, 0.750, 0.250], [0.750, 0.250, 0.250], [0.750, 0.750, 0.750], [0.250, 0.250, 0.250], [0.250, 0.750, 0.750], [0.750, 0.250, 0.750], [0.750, 0.750, 0.250], [0.000, 0.000, 0.500], [0.000, 0.500, 0.000], [0.500, 0.000, 0.000], [0.500, 0.500, 0.500]]}

(4)
{"formula": "CoTc", "functional": "PBE", "state": "optimized geometry", "relative_energy_mev_per_atom": 1160, "vol_a3_per_fu": 32.9, "lattice_angstrom": [[3.863, 0.000, 0.000], [-1.931, 3.345, 0.000], [0.000, 0.000, 5.098]], "species": ["Co", "Co", "Tc", "Tc"], "frac_coords": [[0.333, 0.667, 0.000], [0.667, 0.333, 0.500], [0.333, 0.667, 0.447], [0.667, 0.333, 0.947]]}